1.
VASP calculation (GGA-PBE) on an optimized crystal structure of Mg2TaCr.

a b c (Å): 3.1155 3.1155 7.6150
angles (deg): 90.00 90.00 90.00
Space group P4mm (No. 99)
Asymmetric unit:
Mg: 0.0000 0.0000 0.0000
Mg: 0.5000 0.5000 0.2879
Ta: 0.0000 0.0000 0.5616
Cr: 0.5000 0.5000 0.7623

Summary:
Energy above the most stable polymorph in this dataset   0.131 eV per formula unit
M_tot   2.9 μB per formula unit
E   -23.44 eV per cell
V   18.48 A^3/atom
Crystal system   tetragonal

---

2.
VASP calculation (GGA-PBE) on an optimized crystal structure of Li2CePbCl8.

a b c (Å): 6.6167 6.9178 8.6285
angles (deg): 72.55 89.95 79.24
Space group P-1 (No. 2)
Asymmetric unit:
Li: 0.0415 0.1385 0.3267
Ce: 0.5000 0.5000 0.0000
Pb: 0.5000 0.5000 0.5000
Cl: 0.1112 0.7757 0.4494
Cl: 0.1434 0.7508 0.9343
Cl: 0.3671 0.2756 0.2828
Cl: 0.3823 0.2837 0.8242

Summary:
M_tot   0.0 μB per formula unit
E   -48.49 eV per cell
V   30.79 A^3/atom
Crystal system   triclinic

---

3.
VASP calculation (GGA-PBE) on an optimized crystal structure of Mg3Mn.

a b c (Å): 3.0845 4.8885 5.3142
angles (deg): 90.00 90.00 90.00
Space group Pmm2 (No. 25)
Asymmetric unit:
Mg: 0.0000 0.0000 0.0000
Mg: 0.0000 0.5000 0.3433
Mg: 0.5000 0.0000 0.5210
Mn: 0.5000 0.5000 0.8461

Summary:
M_tot   3.7 μB per formula unit
E   -13.19 eV per cell
V   20.03 A^3/atom
Crystal system   orthorhombic

---

4.
VASP calculation (GGA-PBE) on an optimized crystal structure of RuIBr2.

a b c (Å): 3.2283 3.2283 39.7217
angles (deg): 90.00 90.00 120.00
Space group R-3m (No. 166, hexagonal axes)
Asymmetric unit:
Ru: 0.0000 0.0000 0.0000
I: 0.0000 0.0000 0.5000
Br: 0.0000 0.0000 0.0590

Summary:
Energy above the most stable polymorph in this dataset   2.078 eV per formula unit
M_tot   0.0 μB per formula unit
E   -36.97 eV per cell
V   29.88 A^3/atom
Crystal system   trigonal

---

5.
VASP calculation (GGA-PBE) on an optimized crystal structure of CaLaY2.

a b c (Å): 12.1983 3.6680 6.4093
angles (deg): 90.00 99.90 90.00
Space group Cm (No. 8)
Asymmetric unit:
Ca: 0.0000 0.0000 0.0000
La: 0.2550 0.5000 0.2670
Y: 0.0014 0.5000 0.5034
Y: 0.2467 0.0000 0.7400

Summary:
Energy above the most stable polymorph in this dataset   0.058 eV per formula unit
M_tot   0.0 μB per formula unit
E   -39.15 eV per cell
V   35.31 A^3/atom
Crystal system   monoclinic

---

6.
VASP calculation (GGA-PBE) on an optimized crystal structure of TlFeTeN2.

a b c (Å): 3.9309 3.9309 5.4038
angles (deg): 90.00 90.00 90.00
Space group P4/mmm (No. 123)
Asymmetric unit:
Tl: 0.0000 0.0000 0.0000
Fe: 0.5000 0.5000 0.5000
Te: 0.5000 0.5000 0.0000
N: 0.0000 0.5000 0.5000

Summary:
Energy above the most stable polymorph in this dataset   0.000 eV per formula unit
M_tot   0.1 μB per formula unit
E   -25.23 eV per cell
V   16.70 A^3/atom
Crystal system   tetragonal